1.
A plane-wave DFT calculation with SCAN was carried out for a PBEsol-optimized structure of TlTc2P.

Calculated values
Magnetic moment: 0.9 μB per cell

```
data_TlTc2P
_cell_length_a 3.146
_cell_length_b 4.376
_cell_length_c 4.376
_cell_angle_alpha 90.00
_cell_angle_beta 90.00
_cell_angle_gamma 90.00
_space_group_name_H-M_alt 'P 1'
_space_group_IT_number 1
loop_
_space_group_symop_operation_xyz
'x,y,z'
loop_
_atom_site_label
_atom_site_type_symbol
_atom_site_fract_x
_atom_site_fract_y
_atom_site_fract_z
_atom_site_occupancy
P1 P 0.500 0.000 0.000 1
Tc1 Tc 0.000 0.000 0.500 1
Tc2 Tc 0.000 0.500 0.000 1
Tl1 Tl 0.500 0.500 0.500 1
```

---

2.
A plane-wave DFT calculation with SCAN was carried out for a PBEsol-optimized structure of Li3Mo3P4O16.

Calculated values
Magnetic moment: 18.0 μB per cell

```
data_Li3Mo3P4O16
_cell_length_a 7.575
_cell_length_b 8.228
_cell_length_c 10.159
_cell_angle_alpha 90.00
_cell_angle_beta 92.11
_cell_angle_gamma 90.00
_space_group_name_H-M_alt 'P 1'
_space_group_IT_number 1
loop_
_space_group_symop_operation_xyz
'x,y,z'
loop_
_atom_site_label
_atom_site_type_symbol
_atom_site_fract_x
_atom_site_fract_y
_atom_site_fract_z
_atom_site_occupancy
Li1 Li 0.333 0.370 0.169 1
Li2 Li 0.667 0.870 0.831 1
Li3 Li 0.856 0.140 0.425 1
Li4 Li 0.858 0.129 0.921 1
Li5 Li 0.144 0.640 0.575 1
Li6 Li 0.142 0.629 0.079 1
Mo1 Mo 0.361 0.367 0.684 1
Mo2 Mo 0.639 0.867 0.316 1
Mo3 Mo 0.753 0.491 0.375 1
Mo4 Mo 0.764 0.502 0.877 1
Mo5 Mo 0.247 0.991 0.625 1
Mo6 Mo 0.236 0.002 0.123 1
P1 P 0.049 0.799 0.360 1
P2 P 0.057 0.805 0.858 1
P3 P 0.943 0.305 0.142 1
P4 P 0.951 0.299 0.640 1
P5 P 0.542 0.686 0.097 1
P6 P 0.561 0.705 0.611 1
P7 P 0.439 0.205 0.389 1
P8 P 0.458 0.186 0.903 1
O1 O 0.203 0.854 0.962 1
O2 O 0.198 0.849 0.460 1
O3 O 0.116 0.806 0.219 1
O4 O 0.093 0.425 0.149 1
O5 O 0.145 0.793 0.722 1
O6 O 0.108 0.420 0.626 1
O7 O 0.315 0.150 0.787 1
O8 O 0.298 0.149 0.288 1
O9 O 0.353 0.205 0.529 1
O10 O 0.403 0.586 0.599 1
O11 O 0.363 0.201 0.032 1
O12 O 0.391 0.570 0.096 1
O13 O 0.498 0.876 0.645 1
O14 O 0.518 0.365 0.851 1
O15 O 0.482 0.865 0.149 1
O16 O 0.502 0.376 0.355 1
O17 O 0.597 0.086 0.401 1
O18 O 0.647 0.705 0.471 1
O19 O 0.609 0.070 0.904 1
O20 O 0.637 0.701 0.968 1
O21 O 0.702 0.649 0.712 1
O22 O 0.685 0.650 0.213 1
O23 O 0.802 0.349 0.540 1
O24 O 0.797 0.354 0.038 1
O25 O 0.884 0.306 0.781 1
O26 O 0.907 0.925 0.851 1
O27 O 0.855 0.293 0.278 1
O28 O 0.892 0.920 0.374 1
O29 O 0.990 0.626 0.398 1
O30 O 0.010 0.126 0.602 1
O31 O 0.002 0.130 0.101 1
O32 O 0.998 0.630 0.899 1
```

---

3.
A plane-wave DFT calculation with SCAN was carried out for a PBEsol-optimized structure of RbBiMo2O8.

Calculated values
Magnetic moment: 0.0 μB per cell

```
data_RbBiMo2O8
_cell_length_a 5.244
_cell_length_b 11.643
_cell_length_c 11.906
_cell_angle_alpha 90.00
_cell_angle_beta 90.00
_cell_angle_gamma 92.50
_space_group_name_H-M_alt 'P 1'
_space_group_IT_number 1
loop_
_space_group_symop_operation_xyz
'x,y,z'
loop_
_atom_site_label
_atom_site_type_symbol
_atom_site_fract_x
_atom_site_fract_y
_atom_site_fract_z
_atom_site_occupancy
Rb1 Rb 0.020 0.380 0.624 1
Rb2 Rb 0.520 0.380 0.876 1
Rb3 Rb 0.480 0.620 0.124 1
Rb4 Rb 0.980 0.620 0.376 1
Bi1 Bi 0.510 0.117 0.125 1
Bi2 Bi 0.990 0.883 0.625 1
Bi3 Bi 0.490 0.883 0.875 1
Bi4 Bi 0.010 0.117 0.375 1
Mo1 Mo 0.000 0.657 0.850 1
Mo2 Mo 0.023 0.114 0.885 1
Mo3 Mo 0.977 0.886 0.115 1
Mo4 Mo 0.523 0.114 0.615 1
Mo5 Mo 0.000 0.343 0.150 1
Mo6 Mo 0.500 0.657 0.650 1
Mo7 Mo 0.477 0.886 0.385 1
Mo8 Mo 0.500 0.343 0.350 1
O1 O 0.846 0.996 0.201 1
O2 O 0.744 0.952 0.462 1
O3 O 0.773 0.265 0.061 1
O4 O 0.689 0.223 0.288 1
O5 O 0.820 0.579 0.945 1
O6 O 0.727 0.735 0.561 1
O7 O 0.588 0.778 0.303 1
O8 O 0.912 0.222 0.803 1
O9 O 0.680 0.421 0.445 1
O10 O 0.346 0.996 0.299 1
O11 O 0.265 0.178 0.971 1
O12 O 0.273 0.265 0.439 1
O13 O 0.256 0.048 0.538 1
O14 O 0.735 0.822 0.029 1
O15 O 0.320 0.579 0.555 1
O16 O 0.235 0.822 0.471 1
O17 O 0.654 0.004 0.701 1
O18 O 0.806 0.437 0.224 1
O19 O 0.311 0.777 0.712 1
O20 O 0.189 0.223 0.212 1
O21 O 0.306 0.437 0.276 1
O22 O 0.694 0.563 0.724 1
O23 O 0.244 0.952 0.038 1
O24 O 0.088 0.778 0.197 1
O25 O 0.154 0.004 0.799 1
O26 O 0.194 0.563 0.776 1
O27 O 0.412 0.222 0.697 1
O28 O 0.180 0.421 0.055 1
O29 O 0.765 0.178 0.529 1
O30 O 0.227 0.735 0.939 1
O31 O 0.811 0.777 0.788 1
O32 O 0.756 0.048 0.962 1
```

---

4.
A plane-wave DFT calculation with SCAN was carried out for a PBEsol-optimized structure of Ca2TlW.

Calculated values
Magnetic moment: 3.2 μB per cell

```
data_Ca2TlW
_cell_length_a 5.191
_cell_length_b 5.191
_cell_length_c 5.191
_cell_angle_alpha 60.00
_cell_angle_beta 60.00
_cell_angle_gamma 60.00
_space_group_name_H-M_alt 'P 1'
_space_group_IT_number 1
loop_
_space_group_symop_operation_xyz
'x,y,z'
loop_
_atom_site_label
_atom_site_type_symbol
_atom_site_fract_x
_atom_site_fract_y
_atom_site_fract_z
_atom_site_occupancy
Tl1 Tl 0.000 0.000 0.000 1
Ca1 Ca 0.250 0.250 0.250 1
Ca2 Ca 0.750 0.750 0.750 1
W1 W 0.500 0.500 0.500 1
```

---

5.
A plane-wave DFT calculation with SCAN was carried out for a PBEsol-optimized structure of La2Ta3S2O8.

Calculated values
Magnetic moment: 0.0 μB per cell

```
data_La2Ta3S2O8
_cell_length_a 7.631
_cell_length_b 9.861
_cell_length_c 11.700
_cell_angle_alpha 90.00
_cell_angle_beta 90.00
_cell_angle_gamma 90.00
_space_group_name_H-M_alt 'P 1'
_space_group_IT_number 1
loop_
_space_group_symop_operation_xyz
'x,y,z'
loop_
_atom_site_label
_atom_site_type_symbol
_atom_site_fract_x
_atom_site_fract_y
_atom_site_fract_z
_atom_site_occupancy
La1 La 0.000 0.793 0.664 1
La2 La 0.500 0.707 0.164 1
La3 La 0.500 0.293 0.836 1
La4 La 0.000 0.730 0.154 1
La5 La 0.000 0.270 0.846 1
La6 La 0.500 0.230 0.346 1
La7 La 0.000 0.207 0.336 1
La8 La 0.500 0.770 0.654 1
Ta1 Ta 0.250 0.136 0.581 1
Ta2 Ta 0.250 0.864 0.419 1
Ta3 Ta 0.250 0.636 0.919 1
Ta4 Ta 0.250 0.364 0.081 1
Ta5 Ta 0.750 0.636 0.919 1
Ta6 Ta 0.750 0.136 0.581 1
Ta7 Ta 0.750 0.864 0.419 1
Ta8 Ta 0.286 0.000 0.000 1
Ta9 Ta 0.214 0.500 0.500 1
Ta10 Ta 0.714 0.000 0.000 1
Ta11 Ta 0.786 0.500 0.500 1
Ta12 Ta 0.750 0.364 0.081 1
S1 S 0.500 0.982 0.845 1
S2 S 0.500 0.018 0.155 1
S3 S 0.000 0.482 0.655 1
S4 S 0.000 0.518 0.345 1
S5 S 0.500 0.480 0.632 1
S6 S 0.500 0.520 0.368 1
S7 S 0.000 0.980 0.868 1
S8 S 0.000 0.020 0.132 1
O1 O 0.500 0.367 0.053 1
O2 O 0.500 0.633 0.947 1
O3 O 0.000 0.867 0.447 1
O4 O 0.000 0.133 0.553 1
O5 O 0.500 0.151 0.550 1
O6 O 0.500 0.849 0.450 1
O7 O 0.000 0.651 0.950 1
O8 O 0.000 0.349 0.050 1
O9 O 0.751 0.786 0.275 1
O10 O 0.751 0.214 0.725 1
O11 O 0.749 0.286 0.225 1
O12 O 0.749 0.714 0.775 1
O13 O 0.249 0.214 0.725 1
O14 O 0.249 0.786 0.275 1
O15 O 0.266 0.197 0.975 1
O16 O 0.251 0.714 0.775 1
O17 O 0.756 0.557 0.103 1
O18 O 0.756 0.443 0.897 1
O19 O 0.744 0.057 0.397 1
O20 O 0.744 0.943 0.603 1
O21 O 0.244 0.443 0.897 1
O22 O 0.244 0.557 0.103 1
O23 O 0.256 0.943 0.603 1
O24 O 0.256 0.057 0.397 1
O25 O 0.734 0.803 0.025 1
O26 O 0.734 0.197 0.975 1
O27 O 0.766 0.303 0.475 1
O28 O 0.766 0.697 0.525 1
O29 O 0.234 0.303 0.475 1
O30 O 0.234 0.697 0.525 1
O31 O 0.266 0.803 0.025 1
O32 O 0.251 0.286 0.225 1
```

---

6.
A plane-wave DFT calculation with SCAN was carried out for a PBEsol-optimized structure of LiMnPO5.

Calculated values
Magnetic moment: 6.0 μB per cell

```
data_LiMnPO5
_cell_length_a 5.079
_cell_length_b 5.195
_cell_length_c 6.827
_cell_angle_alpha 106.41
_cell_angle_beta 107.13
_cell_angle_gamma 100.11
_space_group_name_H-M_alt 'P 1'
_space_group_IT_number 1
loop_
_space_group_symop_operation_xyz
'x,y,z'
loop_
_atom_site_label
_atom_site_type_symbol
_atom_site_fract_x
_atom_site_fract_y
_atom_site_fract_z
_atom_site_occupancy
Li1 Li 0.724 0.345 0.746 1
Li2 Li 0.276 0.655 0.254 1
Mn1 Mn 0.000 0.000 0.000 1
Mn2 Mn 0.000 0.000 0.500 1
P1 P 0.320 0.650 0.759 1
P2 P 0.680 0.350 0.241 1
O1 O 0.899 0.336 0.123 1
O2 O 0.101 0.664 0.877 1
O3 O 0.744 0.213 0.417 1
O4 O 0.256 0.787 0.583 1
O5 O 0.690 0.659 0.348 1
O6 O 0.310 0.341 0.652 1
O7 O 0.373 0.223 0.069 1
O8 O 0.627 0.777 0.931 1
O9 O 0.891 0.047 0.737 1
O10 O 0.109 0.953 0.263 1
```

---

7.
A plane-wave DFT calculation with SCAN was carried out for a PBEsol-optimized structure of Ta2As.

Calculated values
Magnetic moment: 0.0 μB per cell

```
data_Ta2As
_cell_length_a 3.449
_cell_length_b 11.810
_cell_length_c 14.760
_cell_angle_alpha 90.00
_cell_angle_beta 90.00
_cell_angle_gamma 90.00
_space_group_name_H-M_alt 'P 1'
_space_group_IT_number 1
loop_
_space_group_symop_operation_xyz
'x,y,z'
loop_
_atom_site_label
_atom_site_type_symbol
_atom_site_fract_x
_atom_site_fract_y
_atom_site_fract_z
_atom_site_occupancy
As1 As 0.000 0.689 0.151 1
As2 As 0.000 0.311 0.849 1
As3 As 0.500 0.189 0.349 1
As4 As 0.500 0.811 0.651 1
As5 As 0.000 0.421 0.296 1
As6 As 0.000 0.579 0.704 1
As7 As 0.500 0.921 0.204 1
As8 As 0.500 0.079 0.796 1
As9 As 0.000 0.247 0.081 1
As10 As 0.000 0.753 0.919 1
As11 As 0.500 0.747 0.419 1
As12 As 0.500 0.253 0.581 1
Ta1 Ta 0.000 0.885 0.072 1
Ta2 Ta 0.000 0.115 0.928 1
Ta3 Ta 0.500 0.385 0.428 1
Ta4 Ta 0.500 0.615 0.572 1
Ta5 Ta 0.000 0.806 0.298 1
Ta6 Ta 0.000 0.194 0.702 1
Ta7 Ta 0.500 0.306 0.202 1
Ta8 Ta 0.500 0.694 0.798 1
Ta9 Ta 0.000 0.472 0.109 1
Ta10 Ta 0.000 0.528 0.891 1
Ta11 Ta 0.500 0.972 0.391 1
Ta12 Ta 0.500 0.028 0.609 1
Ta13 Ta 0.000 0.081 0.243 1
Ta14 Ta 0.000 0.919 0.757 1
Ta15 Ta 0.500 0.581 0.257 1
Ta16 Ta 0.500 0.419 0.743 1
Ta17 Ta 0.000 0.142 0.477 1
Ta18 Ta 0.000 0.858 0.523 1
Ta19 Ta 0.500 0.642 0.023 1
Ta20 Ta 0.500 0.358 0.977 1
Ta21 Ta 0.000 0.586 0.421 1
Ta22 Ta 0.000 0.414 0.579 1
Ta23 Ta 0.500 0.086 0.079 1
Ta24 Ta 0.500 0.914 0.921 1
```

---

8.
A plane-wave DFT calculation with SCAN was carried out for a PBEsol-optimized structure of CsCrAs2O7.

Calculated values
Magnetic moment: 12.0 μB per cell

```
data_CsCrAs2O7
_cell_length_a 7.920
_cell_length_b 8.676
_cell_length_c 10.071
_cell_angle_alpha 90.00
_cell_angle_beta 90.00
_cell_angle_gamma 106.22
_space_group_name_H-M_alt 'P 1'
_space_group_IT_number 1
loop_
_space_group_symop_operation_xyz
'x,y,z'
loop_
_atom_site_label
_atom_site_type_symbol
_atom_site_fract_x
_atom_site_fract_y
_atom_site_fract_z
_atom_site_occupancy
Cs1 Cs 0.324 0.454 0.807 1
Cs2 Cs 0.676 0.046 0.307 1
Cs3 Cs 0.676 0.546 0.193 1
Cs4 Cs 0.324 0.954 0.693 1
Cr1 Cr 0.739 0.769 0.600 1
Cr2 Cr 0.261 0.731 0.100 1
Cr3 Cr 0.261 0.231 0.400 1
Cr4 Cr 0.739 0.269 0.900 1
As1 As 0.932 0.687 0.867 1
As2 As 0.068 0.813 0.367 1
As3 As 0.068 0.313 0.133 1
As4 As 0.932 0.187 0.633 1
As5 As 0.637 0.843 0.911 1
As6 As 0.363 0.657 0.411 1
As7 As 0.363 0.157 0.089 1
As8 As 0.637 0.343 0.589 1
O1 O 0.789 0.504 0.894 1
O2 O 0.211 0.996 0.394 1
O3 O 0.211 0.496 0.106 1
O4 O 0.789 0.004 0.606 1
O5 O 0.141 0.717 0.922 1
O6 O 0.859 0.783 0.422 1
O7 O 0.859 0.283 0.078 1
O8 O 0.141 0.217 0.578 1
O9 O 0.943 0.758 0.708 1
O10 O 0.057 0.742 0.208 1
O11 O 0.057 0.242 0.292 1
O12 O 0.943 0.258 0.792 1
O13 O 0.842 0.818 0.967 1
O14 O 0.158 0.682 0.467 1
O15 O 0.158 0.182 0.033 1
O16 O 0.842 0.318 0.533 1
O17 O 0.650 0.038 0.921 1
O18 O 0.350 0.462 0.421 1
O19 O 0.350 0.962 0.079 1
O20 O 0.650 0.538 0.579 1
O21 O 0.482 0.721 0.008 1
O22 O 0.518 0.779 0.508 1
O23 O 0.518 0.279 0.992 1
O24 O 0.482 0.221 0.492 1
O25 O 0.597 0.756 0.758 1
O26 O 0.403 0.744 0.258 1
O27 O 0.403 0.244 0.242 1
O28 O 0.597 0.256 0.742 1
```

---

Computed calculated total energy, in the same sequence as the records: -2.7636, -0.8830, -1.4906, -2.9148, -1.9664, -0.7454, -3.7900, -1.0680 Ry per atom.